Entry 1:
Density functional theory data (GGA-PBE) for an optimized crystal structure of FeNi2Rh.

The calculation puts the formation energy at 0.01 eV per atom. The calculation puts the density at 9.34 g/cm³. The density of states at the Fermi level comes out at 1.1584 states/eV/atom.

CIF file:
```
data_FeNi2Rh
_chemical_formula_sum 'Fe1 Ni2 Rh1'
_space_group_name_H-M_alt 'P 1'
_space_group_IT_number 1
_space_group_name_Hall 'P 1'
_cell_length_a 3.015
_cell_length_b 3.015
_cell_length_c 5.401
_cell_angle_alpha 90.00
_cell_angle_beta 90.00
_cell_angle_gamma 90.00
loop_
_atom_site_label
_atom_site_type_symbol
_atom_site_fract_x
_atom_site_fract_y
_atom_site_fract_z
Fe1 Fe 0.500 0.500 0.771
Ni1 Ni 0.000 0.000 0.004
Ni2 Ni 0.500 0.500 0.227
Rh1 Rh 0.000 0.000 0.498
```


Entry 2:
Density functional theory data (GGA-PBE) for an optimized crystal structure of Rb2NaH.

The energy above the most stable polymorph in this dataset comes out at 0.09 eV/f.u. The calculation puts the density at 1.58 g/cm³. The density of states at the Fermi level comes out at 0.2643 states/eV/atom.

CIF file:
```
data_Rb2NaH
_chemical_formula_sum 'Rb4 Na2 H2'
_space_group_name_H-M_alt 'P 1'
_space_group_IT_number 1
_space_group_name_Hall 'P 1'
_cell_length_a 8.783
_cell_length_b 8.783
_cell_length_c 8.182
_cell_angle_alpha 57.54
_cell_angle_beta 57.54
_cell_angle_gamma 90.00
loop_
_atom_site_label
_atom_site_type_symbol
_atom_site_fract_x
_atom_site_fract_y
_atom_site_fract_z
Na1 Na 0.000 0.000 0.000
Na2 Na 0.750 0.250 0.500
Rb1 Rb 0.495 0.125 0.250
Rb2 Rb 0.255 0.625 0.250
Rb3 Rb 0.375 0.505 0.750
Rb4 Rb 0.875 0.745 0.750
H1 H 0.500 0.500 0.000
H2 H 0.250 0.750 0.500
```


Entry 3:
Density functional theory data (GGA-PBE) for an optimized crystal structure of RbTeSe.

The energy above the most stable polymorph in this dataset comes out at 0.14 eV/f.u. The calculation puts the density at 4.01 g/cm³. As for the formation energy without anion corrections: -0.61 eV per atom. The density of states at the Fermi level comes out at 0.4964 states/eV/atom.

CIF file:
```
data_RbTeSe
_chemical_formula_sum 'Rb1 Te1 Se1'
_space_group_name_H-M_alt 'P 1'
_space_group_IT_number 1
_space_group_name_Hall 'P 1'
_cell_length_a 4.995
_cell_length_b 5.069
_cell_length_c 5.071
_cell_angle_alpha 87.70
_cell_angle_beta 76.95
_cell_angle_gamma 75.10
loop_
_atom_site_label
_atom_site_type_symbol
_atom_site_fract_x
_atom_site_fract_y
_atom_site_fract_z
Rb1 Rb 0.936 0.252 0.523
Te1 Te 0.258 0.683 0.960
Se1 Se 0.685 0.836 0.105
```


Entry 4:
Density functional theory data (GGA-PBE) for an optimized crystal structure of MgRe2NiH.

The calculation puts the density at 12.41 g/cm³. For the total energy, the calculation gives -34.0 eV/f.u. The density of states at the Fermi level comes out at 1.1678 states/eV/atom.

CIF file:
```
data_MgRe2NiH
_chemical_formula_sum 'Mg1 Re2 Ni1 H1'
_space_group_name_H-M_alt 'P 1'
_space_group_IT_number 1
_space_group_name_Hall 'P 1'
_cell_length_a 3.776
_cell_length_b 4.283
_cell_length_c 3.776
_cell_angle_alpha 90.00
_cell_angle_beta 90.00
_cell_angle_gamma 90.00
loop_
_atom_site_label
_atom_site_type_symbol
_atom_site_fract_x
_atom_site_fract_y
_atom_site_fract_z
Re1 Re 0.000 0.000 0.500
Re2 Re 0.500 0.000 0.000
Mg1 Mg 0.000 0.500 0.000
H1 H 0.000 0.000 0.000
Ni1 Ni 0.500 0.500 0.500
```


Entry 5:
Density functional theory data (GGA-PBE) for an optimized crystal structure of Ac3PuPt8.

The calculation puts the formation energy at -0.96 eV per atom. The calculation puts the density at 16.51 g/cm³. The density of states at the Fermi level comes out at 1.7455 states/eV/atom.

CIF file:
```
data_Ac3PuPt8
_chemical_formula_sum 'Ac3 Pu1 Pt8'
_space_group_name_H-M_alt 'P 1'
_space_group_IT_number 1
_space_group_name_Hall 'P 1'
_cell_length_a 5.609
_cell_length_b 5.609
_cell_length_c 9.733
_cell_angle_alpha 73.25
_cell_angle_beta 73.25
_cell_angle_gamma 60.00
loop_
_atom_site_label
_atom_site_type_symbol
_atom_site_fract_x
_atom_site_fract_y
_atom_site_fract_z
Ac1 Ac 0.376 0.376 0.871
Ac2 Ac 0.996 0.996 0.011
Ac3 Ac 0.503 0.503 0.491
Pu1 Pu 0.873 0.873 0.381
Pt1 Pt 0.938 0.436 0.190
Pt2 Pt 0.439 0.938 0.684
Pt3 Pt 0.436 0.436 0.190
Pt4 Pt 0.938 0.938 0.684
Pt5 Pt 0.188 0.188 0.436
Pt6 Pt 0.688 0.688 0.937
Pt7 Pt 0.436 0.938 0.190
Pt8 Pt 0.938 0.439 0.684
```


Entry 6:
Density functional theory data (GGA-PBE) for an optimized crystal structure of SrAl2RePb.

The calculation puts the formation energy at 0.47 eV per atom. The calculation puts the density at 6.54 g/cm³. The density of states at the Fermi level comes out at 0.8605 states/eV/atom.

CIF file:
```
data_SrAl2RePb
_chemical_formula_sum 'Sr1 Al2 Re1 Pb1'
_space_group_name_H-M_alt 'P 1'
_space_group_IT_number 1
_space_group_name_Hall 'P 1'
_cell_length_a 4.946
_cell_length_b 5.549
_cell_length_c 4.946
_cell_angle_alpha 90.00
_cell_angle_beta 90.00
_cell_angle_gamma 90.00
loop_
_atom_site_label
_atom_site_type_symbol
_atom_site_fract_x
_atom_site_fract_y
_atom_site_fract_z
Pb1 Pb 0.500 0.500 0.500
Re1 Re 0.000 0.000 0.000
Al1 Al 0.000 0.000 0.500
Al2 Al 0.500 0.000 0.000
Sr1 Sr 0.000 0.500 0.000
```


Entry 7:
Density functional theory data (GGA-PBE) for an optimized crystal structure of TbGdTh2.

The energy above the most stable polymorph in this dataset comes out at 0.41 eV/f.u. The calculation puts the formation energy at 0.16 eV per atom. The calculation puts the density at 10.10 g/cm³. The density of states at the Fermi level comes out at 1.8139 states/eV/atom.

CIF file:
```
data_TbGdTh2
_chemical_formula_sum 'Tb1 Gd1 Th2'
_space_group_name_H-M_alt 'P 1'
_space_group_IT_number 1
_space_group_name_Hall 'P 1'
_cell_length_a 5.661
_cell_length_b 5.661
_cell_length_c 5.661
_cell_angle_alpha 60.00
_cell_angle_beta 60.00
_cell_angle_gamma 60.00
loop_
_atom_site_label
_atom_site_type_symbol
_atom_site_fract_x
_atom_site_fract_y
_atom_site_fract_z
Gd1 Gd 0.000 0.000 0.000
Tb1 Tb 0.500 0.500 0.500
Th1 Th 0.250 0.250 0.250
Th2 Th 0.750 0.750 0.750
```


Entry 8:
Density functional theory data (GGA-PBE) for an optimized crystal structure of P2HIrCl.

The energy above the most stable polymorph in this dataset comes out at 0.41 eV/f.u. The calculation puts the density at 7.54 g/cm³. The density of states at the Fermi level comes out at 0.4054 states/eV/atom.

CIF file:
```
data_P2HIrCl
_chemical_formula_sum 'P2 H1 Ir1 Cl1'
_space_group_name_H-M_alt 'P 1'
_space_group_IT_number 1
_space_group_name_Hall 'P 1'
_cell_length_a 3.738
_cell_length_b 3.738
_cell_length_c 4.582
_cell_angle_alpha 90.00
_cell_angle_beta 90.00
_cell_angle_gamma 90.00
loop_
_atom_site_label
_atom_site_type_symbol
_atom_site_fract_x
_atom_site_fract_y
_atom_site_fract_z
P1 P 0.000 0.500 0.000
P2 P 0.500 0.000 0.000
Ir1 Ir 0.500 0.500 0.500
H1 H 0.000 0.000 0.000
Cl1 Cl 0.000 0.000 0.500
```


Entry 9:
Density functional theory data (GGA-PBE) for an optimized crystal structure of CsMnHSe2.

The calculation puts the density at 4.87 g/cm³. For the total energy, the calculation gives -22.4 eV/f.u. The density of states at the Fermi level comes out at 0.4932 states/eV/atom.

CIF file:
```
data_CsMnHSe2
_chemical_formula_sum 'Cs2 Mn2 H2 Se4'
_space_group_name_H-M_alt 'P 1'
_space_group_IT_number 1
_space_group_name_Hall 'P 1'
_cell_length_a 6.115
_cell_length_b 5.583
_cell_length_c 7.466
_cell_angle_alpha 111.96
_cell_angle_beta 90.00
_cell_angle_gamma 90.00
loop_
_atom_site_label
_atom_site_type_symbol
_atom_site_fract_x
_atom_site_fract_y
_atom_site_fract_z
Cs1 Cs 0.249 0.750 0.500
Cs2 Cs 0.751 0.250 0.500
Mn1 Mn 0.500 0.750 0.000
Mn2 Mn 0.500 0.250 0.000
H1 H 0.000 0.000 0.000
H2 H 0.000 0.500 0.000
Se1 Se 0.760 0.923 0.846
Se2 Se 0.760 0.577 0.154
Se3 Se 0.240 0.423 0.846
Se4 Se 0.240 0.077 0.154
```


Entry 10:
Density functional theory data (GGA-PBE) for an optimized crystal structure of Tb5AgRh4.

The calculation puts the formation energy at -0.74 eV per atom. The calculation puts the density at 10.29 g/cm³. The density of states at the Fermi level comes out at 0.7275 states/eV/atom.

CIF file:
```
data_Tb5AgRh4
_chemical_formula_sum 'Tb5 Ag1 Rh4'
_space_group_name_H-M_alt 'P 1'
_space_group_IT_number 1
_space_group_name_Hall 'P 1'
_cell_length_a 3.458
_cell_length_b 3.458
_cell_length_c 17.737
_cell_angle_alpha 90.00
_cell_angle_beta 90.00
_cell_angle_gamma 90.00
loop_
_atom_site_label
_atom_site_type_symbol
_atom_site_fract_x
_atom_site_fract_y
_atom_site_fract_z
Tb1 Tb 0.500 0.500 0.115
Tb2 Tb 0.500 0.500 0.307
Tb3 Tb 0.500 0.500 0.500
Tb4 Tb 0.500 0.500 0.693
Tb5 Tb 0.500 0.500 0.885
Ag1 Ag 0.000 0.000 0.000
Rh1 Rh 0.000 0.000 0.207
Rh2 Rh 0.000 0.000 0.403
Rh3 Rh 0.000 0.000 0.597
Rh4 Rh 0.000 0.000 0.793
```


Entry 11:
Density functional theory data (GGA-PBE) for an optimized crystal structure of Rb2ErCdCl6.

The calculation puts the density at 3.22 g/cm³. As for the formation energy without anion corrections: -1.77 eV per atom. The density of states at the Fermi level comes out at 0.2385 states/eV/atom.

CIF file:
```
data_Rb2ErCdCl6
_chemical_formula_sum 'Rb4 Er2 Cd2 Cl12'
_space_group_name_H-M_alt 'P 1'
_space_group_IT_number 1
_space_group_name_Hall 'P 1'
_cell_length_a 7.628
_cell_length_b 8.122
_cell_length_c 11.055
_cell_angle_alpha 90.00
_cell_angle_beta 90.00
_cell_angle_gamma 90.00
loop_
_atom_site_label
_atom_site_type_symbol
_atom_site_fract_x
_atom_site_fract_y
_atom_site_fract_z
Rb1 Rb 0.500 0.794 0.224
Rb2 Rb 0.000 0.206 0.724
Rb3 Rb 0.500 0.794 0.776
Rb4 Rb 0.000 0.206 0.276
Er1 Er 0.500 0.226 0.500
Er2 Er 0.000 0.774 0.000
Cd1 Cd 0.000 0.720 0.500
Cd2 Cd 0.500 0.280 0.000
Cl1 Cl 0.500 0.216 0.263
Cl2 Cl 0.500 0.216 0.737
Cl3 Cl 0.000 0.784 0.237
Cl4 Cl 0.000 0.784 0.763
Cl5 Cl 0.260 0.992 0.500
Cl6 Cl 0.740 0.992 0.500
Cl7 Cl 0.248 0.442 0.500
Cl8 Cl 0.752 0.442 0.500
Cl9 Cl 0.748 0.558 0.000
Cl10 Cl 0.252 0.558 0.000
Cl11 Cl 0.240 0.008 0.000
Cl12 Cl 0.760 0.008 0.000
```


Entry 12:
Density functional theory data (GGA-PBE) for an optimized crystal structure of AcSm4As5.

The calculation puts the formation energy at -1.49 eV per atom. The calculation puts the density at 7.17 g/cm³. The density of states at the Fermi level comes out at 0.1482 states/eV/atom.

CIF file:
```
data_AcSm4As5
_chemical_formula_sum 'Ac1 Sm4 As5'
_space_group_name_H-M_alt 'P 1'
_space_group_IT_number 1
_space_group_name_Hall 'P 1'
_cell_length_a 4.281
_cell_length_b 6.072
_cell_length_c 11.345
_cell_angle_alpha 105.52
_cell_angle_beta 100.88
_cell_angle_gamma 90.00
loop_
_atom_site_label
_atom_site_type_symbol
_atom_site_fract_x
_atom_site_fract_y
_atom_site_fract_z
Ac1 Ac 0.000 0.000 0.000
Sm1 Sm 0.398 0.398 0.796
Sm2 Sm 0.797 0.797 0.594
Sm3 Sm 0.203 0.203 0.406
Sm4 Sm 0.602 0.602 0.204
As1 As 0.607 0.107 0.213
As2 As 0.801 0.301 0.601
As3 As 0.199 0.699 0.399
As4 As 0.000 0.500 0.000
As5 As 0.393 0.893 0.787
```